The following is a DFT calculation (PBE) of a geometry-optimized CaGa4Pt6 structure.

a b c (Å): 7.3988 7.3988 3.9129
angles (deg): 90.00 90.00 120.00
Space group P-6m2 (No. 187)
Inequivalent atoms, fractional coordinates:
1 Ca 0.0000 0.0000 0.0000 x1
2 Ga 0.3333 0.6667 0.0000 x1
3 Ga 0.3934 0.1967 0.5000 x3
4 Pt 0.1970 0.3940 0.5000 x3
5 Pt 0.5329 0.0659 0.0000 x3

uncorrected energy	-5.34	eV per atom